Entry 1:
DFT (PBE) results for TiBeP after structural relaxation.

Values from the calculation:
Energy relative to the elements (meV per atom): -697
Distance to the lowest polymorph of the same formula (meV per atom): 11.5

Lattice parameters (Å, degrees): 3.4699 8.6233 4.8642 90.00 90.00 90.00
With the nearest neighbours (Å) after each atom.
Space group Cmcm (No. 63)
One atom of each set of equivalent atoms:
Ti  0.0000  0.1946  0.2500  5 P 2.46-2.56, 4 Be 2.70
Be  0.0000  0.5000  0.0000  4 P 2.30, 2 Be 2.43
P  0.0000  0.1028  0.7500  4 Be 2.30, 5 Ti 2.46-2.56

***

Entry 2:
DFT (PBE) results for TiBeP after structural relaxation.

Values from the calculation:
Energy relative to the elements (meV per atom): -709
Distance to the lowest polymorph of the same formula (meV per atom): 0.0

Lattice parameters (Å, degrees): 8.7681 3.4516 5.2334 90.00 104.67 90.00
With the nearest neighbours (Å) after each atom.
Space group Cm (No. 8)
One atom of each set of equivalent atoms:
Ti  0.0000  0.0000  0.0000  5 P 2.52-2.79, 5 Be 2.56-2.68
Ti  0.1548  0.5000  0.5727  4 Be 2.48-2.60, 5 P 2.56-2.67
Be  0.2214  0.5000  0.1242  3 P 2.11-2.17
Be  0.3819  0.0000  0.6289  3 P 2.04-2.07
P  0.2738  0.0000  0.9310  3 Be 2.04-2.11
P  0.4320  0.5000  0.4492  3 Be 2.07-2.17

***

Entry 3:
DFT (PBE) results for Ti2Be2P after structural relaxation.

Values from the calculation:
Energy relative to the elements (meV per atom): -435

Lattice parameters (Å, degrees): 5.7585 5.7585 3.6003 90.00 90.00 90.00
With the nearest neighbours (Å) after each atom.
Space group P4/mbm (No. 127)
One atom of each set of equivalent atoms:
Ti  0.1758  0.3242  0.0000  6 Be 2.43-2.51
Be  0.1241  0.6241  0.5000  1 Be 2.02
P  0.0000  0.0000  0.5000  4 Be 2.28

***

Entry 4:
DFT (PBE) results for TiBeP after structural relaxation.

Values from the calculation:
Energy relative to the elements (meV per atom): -603
Distance to the lowest polymorph of the same formula (meV per atom): 105.4

Lattice parameters (Å, degrees): 3.3537 3.3537 12.6959 90.00 90.00 120.00
With the nearest neighbours (Å) after each atom.
Space group R3m (No. 160, hexagonal axes)
One atom of each set of equivalent atoms:
Ti  0.0000  0.0000  0.0000  4 Be 2.53-2.58, 4 P 2.53-2.60
Be  0.0000  0.0000  0.8011  3 P 2.13
P  0.0000  0.0000  0.2046  3 Be 2.13

***

Taking the records one at a time from the top gives DOS at the Fermi energy values of 0.43 0.40 0.33 0.56 states/eV/atom.